No. 1
The following is a SCAN calculation of a crystal of CsRe3Rh relaxed with PBEsol, from Alexandria via LeMat-Bulk.

Values from the calculation:
Raw total energy ... -272.23 eV per cell
Formation energy from the elements ... 2529 meV/atom
Calculated density ... 11.91 Mg/m³
Space-group type ... Pm-3m (221)

Cell: 4.803 4.803 4.803 Å, 90.00 90.00 90.00°
Site moments in Bohr magnetons follow the coordinates.
Fractional positions:
Re: 0.500 0.000 0.000  0.86
Rh: 0.000 0.000 0.000  -0.05
Cs: 0.500 0.500 0.500  0.09
Re: 0.000 0.000 0.500  0.86
Re: 0.000 0.500 0.000  0.86



No. 2
The following is a SCAN calculation of a crystal of Cd5SiP2O12 relaxed with PBEsol, from Alexandria via LeMat-Bulk.

Values from the calculation:
Raw total energy ... -1195.28 eV per cell
Calculated density ... 5.45 Mg/m³
Space-group type ... P2_12_12_1 (19)

Cell: 6.761 10.194 14.917 Å, 90.00 90.00 90.00°
Fractional positions:
O: 0.710 0.438 0.003
O: 0.159 0.858 0.909
O: 0.723 0.968 0.341
O: 0.574 0.527 0.306
O: 0.563 0.222 0.893
O: 0.716 0.938 0.626
Cd: 0.105 0.059 0.835
O: 0.784 0.062 0.126
O: 0.777 0.032 0.841
Cd: 0.803 0.218 0.008
O: 0.986 0.614 0.009
P: 0.607 0.125 0.814
O: 0.151 0.291 0.270
O: 0.341 0.142 0.409
O: 0.014 0.114 0.491
O: 0.841 0.358 0.591
O: 0.977 0.754 0.597
O: 0.572 0.530 0.702
Cd: 0.106 0.055 0.154
Cd: 0.697 0.782 0.508
P: 0.760 0.587 0.006
Cd: 0.894 0.555 0.346
O: 0.216 0.562 0.374
O: 0.486 0.886 0.991
Cd: 0.425 0.340 0.361
O: 0.514 0.386 0.509
Cd: 0.075 0.660 0.861
Cd: 0.394 0.945 0.654
O: 0.323 0.144 0.583
Cd: 0.598 0.830 0.852
P: 0.893 0.875 0.314
Cd: 0.575 0.840 0.139
O: 0.284 0.438 0.874
Cd: 0.902 0.170 0.352
Cd: 0.606 0.445 0.846
O: 0.926 0.473 0.806
O: 0.151 0.269 0.739
O: 0.072 0.970 0.298
Cd: 0.402 0.330 0.648
O: 0.437 0.722 0.607
Cd: 0.895 0.559 0.665
O: 0.849 0.769 0.761
Cd: 0.098 0.670 0.148
Cd: 0.925 0.160 0.639
O: 0.063 0.278 0.107
O: 0.823 0.356 0.417
O: 0.177 0.856 0.083
O: 0.677 0.644 0.917
O: 0.428 0.030 0.798
O: 0.074 0.973 0.694
O: 0.523 0.246 0.097
O: 0.277 0.468 0.159
O: 0.937 0.778 0.393
Cd: 0.395 0.941 0.335
Cd: 0.605 0.441 0.165
P: 0.393 0.625 0.686
O: 0.426 0.027 0.194
O: 0.210 0.062 0.997
O: 0.349 0.709 0.770
O: 0.477 0.746 0.403
O: 0.651 0.231 0.261
P: 0.260 0.913 0.994
O: 0.849 0.791 0.230
O: 0.928 0.470 0.202
P: 0.740 0.413 0.506
Si: 0.097 0.360 0.826
Si: 0.903 0.860 0.674
O: 0.349 0.731 0.239
Si: 0.403 0.640 0.326
O: 0.790 0.562 0.503
O: 0.023 0.254 0.903
P: 0.107 0.375 0.186
Si: 0.597 0.140 0.174
Cd: 0.303 0.282 0.992
O: 0.290 0.938 0.497
O: 0.651 0.209 0.730
O: 0.659 0.642 0.091
P: 0.240 0.087 0.494
Cd: 0.197 0.718 0.492
O: 0.223 0.532 0.659



No. 3
The following is a SCAN calculation of a crystal of ScMn2Ni relaxed with PBEsol, from Alexandria via LeMat-Bulk.

Values from the calculation:
Raw total energy ... -68.09 eV per cell
Formation energy from the elements ... -292 meV/atom
Calculated density ... 6.70 Mg/m³
Space-group type ... F-43m (216)

Cell: 4.215 4.215 4.215 Å, 60.00 60.00 60.00°
Site moments in Bohr magnetons follow the coordinates.
Fractional positions:
Sc: 0.750 0.750 0.750  0.06
Ni: 0.500 0.500 0.500  0.37
Mn: 0.000 0.000 0.000  -3.36
Mn: 0.250 0.250 0.250  3.73



No. 4
The following is a SCAN calculation of a crystal of Li4Co3TeO8 relaxed with PBEsol, from Alexandria via LeMat-Bulk.

Values from the calculation:
Raw total energy ... -174.23 eV per cell
Calculated density ... 5.17 Mg/m³
Space-group type ... R-3m (166)

Cell: 5.907 5.907 5.907 Å, 60.61 60.61 60.61°
Site moments in Bohr magnetons follow the coordinates.
Fractional positions:
O: 0.765 0.233 0.765  0.08
Li: 0.000 0.500 0.000  0.01
Li: 0.500 0.000 0.000  0.01
O: 0.235 0.767 0.235  0.08
O: 0.765 0.765 0.233  0.08
Li: 0.500 0.500 0.500  0.00
O: 0.742 0.742 0.742  0.23
O: 0.767 0.235 0.235  0.08
Co: 0.000 0.500 0.500  2.63
Li: 0.000 0.000 0.500  0.01
O: 0.235 0.235 0.767  0.08
O: 0.258 0.258 0.258  0.23
Co: 0.500 0.500 0.000  2.63
O: 0.233 0.765 0.765  0.08
Co: 0.500 0.000 0.500  2.63
Te: 0.000 0.000 0.000  -0.03



Repeat the second record exactly.
The following is a SCAN calculation of a crystal of Cd5SiP2O12 relaxed with PBEsol, from Alexandria via LeMat-Bulk.

Values from the calculation:
Raw total energy ... -1195.28 eV per cell
Calculated density ... 5.45 Mg/m³
Space-group type ... P2_12_12_1 (19)

Cell: 6.761 10.194 14.917 Å, 90.00 90.00 90.00°
Fractional positions:
O: 0.710 0.438 0.003
O: 0.159 0.858 0.909
O: 0.723 0.968 0.341
O: 0.574 0.527 0.306
O: 0.563 0.222 0.893
O: 0.716 0.938 0.626
Cd: 0.105 0.059 0.835
O: 0.784 0.062 0.126
O: 0.777 0.032 0.841
Cd: 0.803 0.218 0.008
O: 0.986 0.614 0.009
P: 0.607 0.125 0.814
O: 0.151 0.291 0.270
O: 0.341 0.142 0.409
O: 0.014 0.114 0.491
O: 0.841 0.358 0.591
O: 0.977 0.754 0.597
O: 0.572 0.530 0.702
Cd: 0.106 0.055 0.154
Cd: 0.697 0.782 0.508
P: 0.760 0.587 0.006
Cd: 0.894 0.555 0.346
O: 0.216 0.562 0.374
O: 0.486 0.886 0.991
Cd: 0.425 0.340 0.361
O: 0.514 0.386 0.509
Cd: 0.075 0.660 0.861
Cd: 0.394 0.945 0.654
O: 0.323 0.144 0.583
Cd: 0.598 0.830 0.852
P: 0.893 0.875 0.314
Cd: 0.575 0.840 0.139
O: 0.284 0.438 0.874
Cd: 0.902 0.170 0.352
Cd: 0.606 0.445 0.846
O: 0.926 0.473 0.806
O: 0.151 0.269 0.739
O: 0.072 0.970 0.298
Cd: 0.402 0.330 0.648
O: 0.437 0.722 0.607
Cd: 0.895 0.559 0.665
O: 0.849 0.769 0.761
Cd: 0.098 0.670 0.148
Cd: 0.925 0.160 0.639
O: 0.063 0.278 0.107
O: 0.823 0.356 0.417
O: 0.177 0.856 0.083
O: 0.677 0.644 0.917
O: 0.428 0.030 0.798
O: 0.074 0.973 0.694
O: 0.523 0.246 0.097
O: 0.277 0.468 0.159
O: 0.937 0.778 0.393
Cd: 0.395 0.941 0.335
Cd: 0.605 0.441 0.165
P: 0.393 0.625 0.686
O: 0.426 0.027 0.194
O: 0.210 0.062 0.997
O: 0.349 0.709 0.770
O: 0.477 0.746 0.403
O: 0.651 0.231 0.261
P: 0.260 0.913 0.994
O: 0.849 0.791 0.230
O: 0.928 0.470 0.202
P: 0.740 0.413 0.506
Si: 0.097 0.360 0.826
Si: 0.903 0.860 0.674
O: 0.349 0.731 0.239
Si: 0.403 0.640 0.326
O: 0.790 0.562 0.503
O: 0.023 0.254 0.903
P: 0.107 0.375 0.186
Si: 0.597 0.140 0.174
Cd: 0.303 0.282 0.992
O: 0.290 0.938 0.497
O: 0.651 0.209 0.730
O: 0.659 0.642 0.091
P: 0.240 0.087 0.494
Cd: 0.197 0.718 0.492
O: 0.223 0.532 0.659